A plane-wave DFT calculation with PBE was carried out for a relaxed structure of HgPtBr2.

Structure (extended XYZ):
```
4
Lattice="4.4903 -0.0755 0.0000 -2.9686 3.3698 0.0000 0.0000 0.0000 10.2051" Properties=species:S:1:pos:R:3 pbc="T T T"
Br 0.0000 0.0000 9.3133
Br 0.0000 0.0000 5.9944
Hg 0.7608 1.6471 2.5513
Pt 0.7608 1.6471 7.6538
```

SG = No. 65
Volume = 38.03 Å³ per atom
Energy relative to the elements, uncorrected = -102 meV per atom